Computed, not measured: BaCeMg2Tl4 after structural relaxation at the PBE level of DFT.

Cell lengths 5.3863, 5.3863, 28.0388 Å; angles 90.00, 90.00, 120.00 degrees
Last column: nearest neighbours and their distance in Å.
Space group R-3m (No. 166, hexagonal axes)
Asymmetric unit:
Ba  0.0000  0.0000  0.0000  8 Tl 3.42-3.54
Ce  0.0000  0.0000  0.5000  8 Tl 3.26-3.31
Mg  0.0000  0.0000  0.2439  7 Tl 3.28-3.30
Tl  0.0000  0.0000  0.1263  4 Mg 3.28-3.30, 3 Ce 3.31, 1 Ba 3.54
Tl  0.0000  0.0000  0.3838  1 Ce 3.26, 3 Mg 3.30, 3 Ba 3.42

Values from the calculation:
crystal system = trigonal
calculated density = 8.09 g/cm3
formation energy from the elements = -0.234 eV per atom
energy = -67.1 eV/cell
DOS(E_F) = 24.86 states/eV per cell